Compound: SrLaGaS4
Source: Alexandria via LeMat-Bulk
Functional: GGA-PBE
Structure: optimized geometry

Calculated values
- SG = P2_1/m
- formation energy (no corrections) (eV per atom) = -1.64

Unit cell a=6.692 b=6.699 c=8.214 alpha=90.00 beta=107.34 gamma=90.00
Element x y z (fractional)
Sr1 0.243 0.250 0.436
Sr2 0.757 0.750 0.564
La1 0.274 0.250 0.944
La2 0.726 0.750 0.056
Ga1 0.266 0.750 0.190
Ga2 0.734 0.250 0.810
S1 0.067 0.750 0.370
S2 0.072 0.750 0.911
S3 0.500 0.007 0.243
S4 0.500 0.493 0.243
S5 0.500 0.507 0.757
S6 0.500 0.993 0.757
S7 0.928 0.250 0.089
S8 0.933 0.250 0.630

***

Compound: RbSn3H
Source: Alexandria via LeMat-Bulk
Functional: GGA-PBE
Structure: optimized geometry

Calculated values
- SG = Pm-3m
- relative energy among the computed polymorphs (eV per atom) = 1.429

Unit cell a=6.345 b=6.345 c=6.345 alpha=90.00 beta=90.00 gamma=90.00
Element x y z (fractional)
Rb1 0.000 0.000 0.000
Sn1 0.000 0.000 0.500
Sn2 0.000 0.500 0.000
Sn3 0.500 0.000 0.000
H1 0.500 0.500 0.500

***

Compound: NaYCo2Re
Source: Alexandria via LeMat-Bulk
Functional: GGA-PBE
Structure: optimized geometry

Calculated values
- energy relative to the elements (eV/atom) = 0.92
- SG = P4/mmm

Unit cell a=4.609 b=4.609 c=5.233 alpha=90.00 beta=90.00 gamma=90.00
Element x y z (fractional)
Na1 0.000 0.000 0.000
Y1 0.500 0.500 0.000
Co1 0.000 0.500 0.500
Co2 0.500 0.000 0.500
Re1 0.500 0.500 0.500

***

Compound: Sm6CdRu2
Source: Alexandria via LeMat-Bulk
Functional: GGA-PBE
Structure: optimized geometry

Calculated values
- energy relative to the elements (eV/atom) = -0.18
- SG = C2/m
- relative energy among the computed polymorphs (eV per atom) = 0.081

Unit cell a=5.728 b=5.728 c=9.298 alpha=100.15 beta=100.15 gamma=54.11
Element x y z (fractional)
Sm1 0.039 0.039 0.346
Sm2 0.290 0.290 0.663
Sm3 0.340 0.340 0.116
Sm4 0.660 0.660 0.884
Sm5 0.710 0.710 0.337
Sm6 0.961 0.961 0.654
Cd1 0.000 0.000 0.000
Ru1 0.387 0.387 0.402
Ru2 0.613 0.613 0.598

***

Compound: Zr4BeAl
Source: Alexandria via LeMat-Bulk
Functional: GGA-PBE
Structure: optimized geometry

Calculated values
- energy relative to the elements (eV/atom) = 0.54
- SG = F-43m
- relative energy among the computed polymorphs (eV per atom) = 0.731

Unit cell a=5.658 b=5.658 c=5.658 alpha=60.00 beta=60.00 gamma=60.00
Element x y z (fractional)
Zr1 0.125 0.125 0.125
Zr2 0.125 0.125 0.626
Zr3 0.125 0.626 0.125
Zr4 0.626 0.125 0.125
Be1 0.500 0.500 0.500
Al1 0.750 0.750 0.750

***

Compound: V2SiRh
Source: Alexandria via LeMat-Bulk
Functional: GGA-PBE
Structure: optimized geometry

Calculated values
- SG = P4/mmm
- formation energy (no corrections) (eV per atom) = -0.35

Unit cell a=3.276 b=3.276 c=5.075 alpha=90.00 beta=90.00 gamma=90.00
Element x y z (fractional)
V1 0.000 0.000 0.227
V2 0.000 0.000 0.773
Si1 0.500 0.500 0.000
Rh1 0.500 0.500 0.500

***

Compound: GaAu2I6
Source: Alexandria via LeMat-Bulk
Functional: GGA-PBE
Structure: optimized geometry

Calculated values
- SG = C2/c
- relative energy among the computed polymorphs (eV per atom) = 0.000
- formation energy (no corrections) (eV per atom) = -0.21

Unit cell a=11.128 b=11.128 c=8.665 alpha=107.61 beta=107.61 gamma=94.60
Element x y z (fractional)
Ga1 0.176 0.824 0.750
Ga2 0.824 0.176 0.250
Au1 0.236 0.313 0.451
Au2 0.313 0.236 0.951
Au3 0.687 0.764 0.049
Au4 0.764 0.687 0.549
I1 0.036 0.194 0.166
I2 0.148 0.646 0.471
I3 0.194 0.036 0.666
I4 0.354 0.852 0.029
I5 0.388 0.393 0.769
I6 0.393 0.388 0.269
I7 0.607 0.612 0.731
I8 0.612 0.607 0.231
I9 0.646 0.148 0.971
I10 0.806 0.964 0.334
I11 0.852 0.354 0.529
I12 0.964 0.806 0.834